Version one
# SiHgRu2 | Alexandria via LeMat-Bulk | meta-GGA SCAN | PBEsol geometry
data_SiHgRu2
_cell_length_a 2.778
_cell_length_b 3.590
_cell_length_c 6.189
_cell_angle_alpha 90.00
_cell_angle_beta 90.00
_cell_angle_gamma 90.00
_symmetry_space_group_name_H-M 'P 1'
_symmetry_Int_Tables_number 1
_symmetry_space_group_name_Hall 'P 1'
loop_
_atom_site_label
_atom_site_type_symbol
_atom_site_fract_x
_atom_site_fract_y
_atom_site_fract_z
Ru1 Ru 0.500 0.500 0.281
Ru2 Ru 0.000 0.000 0.035
Si1 Si 0.000 0.000 0.423
Hg1 Hg 0.500 0.500 0.761
# Space-group type   Pmm2, No. 25



Version two
# SiHgRu2 | Alexandria via LeMat-Bulk | meta-GGA SCAN | PBEsol geometry
data_SiHgRu2
_cell_length_a 2.832
_cell_length_b 2.832
_cell_length_c 8.859
_cell_angle_alpha 80.80
_cell_angle_beta 80.80
_cell_angle_gamma 60.00
_symmetry_space_group_name_H-M 'P 1'
_symmetry_Int_Tables_number 1
_symmetry_space_group_name_Hall 'P 1'
loop_
_atom_site_label
_atom_site_type_symbol
_atom_site_fract_x
_atom_site_fract_y
_atom_site_fract_z
Ru1 Ru 0.752 0.752 0.743
Ru2 Ru 0.008 0.008 0.976
Hg1 Hg 0.250 0.250 0.250
Si1 Si 0.489 0.489 0.532
# Space-group type   R3m, No. 160



According to the calculations, the structures order from most to least stable as version one, version two.



Version one
# TaHg2Ru | Alexandria via LeMat-Bulk | meta-GGA SCAN | PBEsol geometry
data_TaHg2Ru
_cell_length_a 2.961
_cell_length_b 4.229
_cell_length_c 5.530
_cell_angle_alpha 90.00
_cell_angle_beta 90.00
_cell_angle_gamma 90.00
_symmetry_space_group_name_H-M 'P 1'
_symmetry_Int_Tables_number 1
_symmetry_space_group_name_Hall 'P 1'
loop_
_atom_site_label
_atom_site_type_symbol
_atom_site_fract_x
_atom_site_fract_y
_atom_site_fract_z
Hg1 Hg 0.000 0.000 0.245
Ru1 Ru 0.500 0.500 0.000
Ta1 Ta 0.500 0.500 0.500
Hg2 Hg 0.000 0.000 0.755
# Space-group type   Pmmm, No. 47



Version two
# TaHg2Ru | Alexandria via LeMat-Bulk | meta-GGA SCAN | PBEsol geometry
data_TaHg2Ru
_cell_length_a 4.088
_cell_length_b 4.088
_cell_length_c 5.021
_cell_angle_alpha 114.03
_cell_angle_beta 114.03
_cell_angle_gamma 90.00
_symmetry_space_group_name_H-M 'P 1'
_symmetry_Int_Tables_number 1
_symmetry_space_group_name_Hall 'P 1'
loop_
_atom_site_label
_atom_site_type_symbol
_atom_site_fract_x
_atom_site_fract_y
_atom_site_fract_z
Hg1 Hg 0.000 0.000 0.000
Ta1 Ta 0.250 0.750 0.500
Hg2 Hg 0.750 0.250 0.500
Ru1 Ru 0.500 0.500 0.000
# Space-group type   I-4m2, No. 119



According to the calculations, the structures order from most to least stable as version two, version one.



Version one
# TlHgRu2 | Alexandria via LeMat-Bulk | meta-GGA SCAN | PBEsol geometry
data_TlHgRu2
_cell_length_a 2.982
_cell_length_b 4.731
_cell_length_c 5.244
_cell_angle_alpha 101.64
_cell_angle_beta 90.00
_cell_angle_gamma 108.37
_symmetry_space_group_name_H-M 'P 1'
_symmetry_Int_Tables_number 1
_symmetry_space_group_name_Hall 'P 1'
loop_
_atom_site_label
_atom_site_type_symbol
_atom_site_fract_x
_atom_site_fract_y
_atom_site_fract_z
Ru1 Ru 0.748 0.496 0.776
Hg1 Hg 0.500 0.000 0.000
Ru2 Ru 0.252 0.504 0.224
Tl1 Tl 0.000 0.000 0.500
# Space-group type   C2/m, No. 12



Version two
# TlHgRu2 | Alexandria via LeMat-Bulk | meta-GGA SCAN | PBEsol geometry
data_TlHgRu2
_cell_length_a 3.228
_cell_length_b 4.551
_cell_length_c 4.551
_cell_angle_alpha 89.93
_cell_angle_beta 90.00
_cell_angle_gamma 90.00
_symmetry_space_group_name_H-M 'P 1'
_symmetry_Int_Tables_number 1
_symmetry_space_group_name_Hall 'P 1'
loop_
_atom_site_label
_atom_site_type_symbol
_atom_site_fract_x
_atom_site_fract_y
_atom_site_fract_z
Ru1 Ru 0.000 0.000 0.500
Ru2 Ru 0.000 0.500 0.000
Hg1 Hg 0.500 0.000 0.000
Tl1 Tl 0.500 0.500 0.500
# Space-group type   Cmmm, No. 65



According to the calculations, the structures order from most to least stable as version one, version two.